Entry from Alexandria via LeMat-Bulk: Li2ZnTe after structural relaxation (PBEsol).

Cell lengths 4.0605, 5.3996, 5.3996 Å; angles 43.73, 90.00, 90.00 degrees
Element x y z (fractional)
1 Li 0.0000 0.0000 0.0000
2 Li 0.5000 0.2703 0.2703
3 Zn 0.5000 0.5327 0.5327
4 Te 0.0000 0.7184 0.7184

Summary:
ΔE to the lowest computed polymorph = 0.0000 eV/atom
magnetization = 0.0000 μB per atom
formation energy (no corrections) = -0.430 eV per atom
uncorrected energy = -10.761 eV per cell
DOS at the Fermi energy = 0.170 states/eV/atom
crystal system = orthorhombic